{
  "formula": "YTl2Os",
  "functional": "GGA-PBE",
  "state": "relaxed",
  "lattice": [[4.8866, 0.0000, 0.0000], [0.0000, 3.4258, 0.0856], [0.0000, 0.8636, 5.5066]],
  "species": ["Os", "Tl", "Tl", "Y"],
  "fractional_positions": [[0.5000, 0.7500, 0.7500], [0.0000, 0.9017, 0.9806], [0.0000, 0.5983, 0.5194], [0.5000, 0.2500, 0.2500]],
  "energy_ev_per_cell": -21.06,
  "vol_a3_per_atom": 23.0,
  "de_polymorph_mev_per_atom": 131,
  "e_form_ev_per_atom": 0.342
}